one:
Compound: YBe3Cu
Source: the Alexandria database
Functional: meta-GGA SCAN
Structure: PBEsol geometry

The calculation puts the density at 2.6 g/cm³.

Cell: 4.859 4.859 4.859 Å, 90.00 90.00 90.00°
Last column: magnetic moment on the atom in μB.
Fractional coordinates of all 5 atoms:
Y: 0.000 0.000 0.000  0.65
Be: 0.000 0.500 0.000  0.10
Be: 0.000 0.000 0.500  0.10
Be: 0.500 0.000 0.000  0.10
Cu: 0.500 0.500 0.500  -0.02

***

two:
Compound: YBe3Cu
Source: the Alexandria database
Functional: meta-GGA SCAN
Structure: PBEsol geometry

The calculation puts the density at 4.3 g/cm³.

Cell: 4.100 4.100 4.100 Å, 90.00 90.00 90.00°
Fractional coordinates of all 5 atoms:
Y: 0.500 0.500 0.500
Be: 0.000 0.000 0.500
Be: 0.500 0.000 0.000
Be: 0.000 0.500 0.000
Cu: 0.000 0.000 0.000

***

Of them, two has the highest stability.

***

one:
Compound: BeZnCu2
Source: the Alexandria database
Functional: meta-GGA SCAN
Structure: PBEsol geometry

The calculation puts the density at 7.6 g/cm³.

Cell: 3.482 3.482 4.393 Å, 113.35 113.35 90.00°
Fractional coordinates of all 4 atoms:
Zn: 0.500 0.500 0.000
Cu: 0.000 0.000 0.000
Cu: 0.750 0.250 0.500
Be: 0.250 0.750 0.500

***

two:
Compound: BeZnCu2
Source: the Alexandria database
Functional: meta-GGA SCAN
Structure: PBEsol geometry

The calculation puts the density at 7.6 g/cm³.

Cell: 3.912 3.993 3.912 Å, 60.67 90.00 119.33°
Fractional coordinates of all 4 atoms:
Cu: 0.250 0.500 0.250
Cu: 0.750 0.500 0.750
Zn: 0.500 0.000 0.500
Be: 0.000 0.000 0.000

***

Of them, two has the highest stability.

***

one:
Compound: BeZnCu2
Source: the Alexandria database
Functional: meta-GGA SCAN
Structure: PBEsol geometry

The calculation puts the density at 7.6 g/cm³.

Cell: 2.755 4.041 4.634 Å, 115.85 107.29 90.00°
Fractional coordinates of all 4 atoms:
Cu: 0.229 0.229 0.459
Cu: 0.771 0.771 0.541
Zn: 0.000 0.500 0.000
Be: 0.500 0.000 0.000

***

two:
Compound: BeZnCu2
Source: the Alexandria database
Functional: meta-GGA SCAN
Structure: PBEsol geometry

The calculation puts the density at 7.6 g/cm³.

Cell: 2.769 3.970 4.665 Å, 115.18 107.26 90.00°
Fractional coordinates of all 4 atoms:
Cu: 0.017 0.017 0.035
Cu: 0.253 0.753 0.505
Zn: 0.487 0.487 0.974
Be: 0.743 0.243 0.485

***

Of them, two has the highest stability.

***

one:
Compound: HfBeF3
Source: the Alexandria database
Functional: meta-GGA SCAN
Structure: PBEsol geometry

The calculation puts the density at 5.5 g/cm³.

Cell: 4.183 4.183 4.183 Å, 90.00 90.00 90.00°
Last column: magnetic moment on the atom in μB.
Fractional coordinates of all 5 atoms:
F: 0.000 0.500 0.000  0.00
F: 0.500 0.000 0.000  0.00
F: 0.000 0.000 0.500  0.00
Be: 0.500 0.500 0.500  0.02
Hf: 0.000 0.000 0.000  0.65

***

two:
Compound: HfBeF3
Source: the Alexandria database
Functional: meta-GGA SCAN
Structure: PBEsol geometry

The calculation puts the density at 7.5 g/cm³.

Cell: 3.786 3.786 3.786 Å, 90.00 90.00 90.00°
Last column: magnetic moment on the atom in μB.
Fractional coordinates of all 5 atoms:
Be: 0.000 0.000 0.000  0.01
F: 0.000 0.000 0.500  0.06
F: 0.500 0.000 0.000  0.06
F: 0.000 0.500 0.000  0.06
Hf: 0.500 0.500 0.500  1.46

***

Of them, one has the highest stability.

***

one:
Compound: KBeF2
Source: the Alexandria database
Functional: meta-GGA SCAN
Structure: PBEsol geometry

The calculation puts the density at 1.8 g/cm³.

Cell: 4.022 4.022 6.069 Å, 70.65 70.65 60.00°
Fractional coordinates of all 4 atoms:
Be: 0.000 0.000 0.000
F: 0.913 0.913 0.262
F: 0.087 0.087 0.738
K: 0.500 0.500 0.500

***

two:
Compound: KBeF2
Source: the Alexandria database
Functional: meta-GGA SCAN
Structure: PBEsol geometry

The calculation puts the density at 2.3 g/cm³.

Cell: 5.625 5.625 5.625 Å, 60.00 60.00 60.00°
Fractional coordinates of all 8 atoms:
Be: 0.000 0.000 0.000
Be: 0.250 0.250 0.250
K: 0.750 0.750 0.750
K: 0.500 0.500 0.500
F: 0.625 0.125 0.125
F: 0.125 0.125 0.625
F: 0.125 0.125 0.125
F: 0.125 0.625 0.125

***

Of them, one has the highest stability.

***

one:
Compound: BePtF3
Source: the Alexandria database
Functional: meta-GGA SCAN
Structure: PBEsol geometry

The calculation puts the density at 8.9 g/cm³.

Cell: 3.653 3.653 3.653 Å, 90.00 90.00 90.00°
Last column: magnetic moment on the atom in μB.
Fractional coordinates of all 5 atoms:
F: 0.500 0.000 0.000  0.04
F: 0.000 0.000 0.500  0.04
F: 0.000 0.500 0.000  0.04
Be: 0.000 0.000 0.000  0.00
Pt: 0.500 0.500 0.500  0.97

***

two:
Compound: BePtF3
Source: the Alexandria database
Functional: meta-GGA SCAN
Structure: PBEsol geometry

The calculation puts the density at 5.8 g/cm³.

Cell: 4.212 4.212 4.212 Å, 90.00 90.00 90.00°
Last column: magnetic moment on the atom in μB.
Fractional coordinates of all 5 atoms:
Pt: 0.000 0.000 0.000  0.06
F: 0.500 0.000 0.000  0.03
F: 0.000 0.500 0.000  0.03
F: 0.000 0.000 0.500  0.03
Be: 0.500 0.500 0.500  0.28

***

Of them, one has the highest stability.

***

one:
Compound: RbBeF2
Source: the Alexandria database
Functional: meta-GGA SCAN
Structure: PBEsol geometry

The calculation puts the density at 2.4 g/cm³.

Cell: 4.278 4.278 6.264 Å, 70.03 70.03 60.00°
Fractional coordinates of all 4 atoms:
F: 0.915 0.915 0.254
F: 0.085 0.085 0.746
Rb: 0.500 0.500 0.500
Be: 0.000 0.000 0.000

***

two:
Compound: RbBeF2
Source: the Alexandria database
Functional: meta-GGA SCAN
Structure: PBEsol geometry

The calculation puts the density at 3.6 g/cm³.

Cell: 4.434 4.434 4.434 Å, 60.00 60.00 60.00°
Last column: magnetic moment on the atom in μB.
Fractional coordinates of all 4 atoms:
F: 0.250 0.250 0.250  0.07
F: 0.750 0.750 0.750  0.07
Be: 0.000 0.000 0.000  0.36
Rb: 0.500 0.500 0.500  0.03

***

Of them, one has the highest stability.

***

one:
Compound: Be3RhF
Source: the Alexandria database
Functional: meta-GGA SCAN
Structure: PBEsol geometry

The calculation puts the density at 5.3 g/cm³.

Cell: 3.601 3.601 3.601 Å, 90.00 90.00 90.00°
Fractional coordinates of all 5 atoms:
F: 0.000 0.000 0.000
Be: 0.000 0.000 0.500
Be: 0.500 0.000 0.000
Be: 0.000 0.500 0.000
Rh: 0.500 0.500 0.500

***

two:
Compound: Be3RhF
Source: the Alexandria database
Functional: meta-GGA SCAN
Structure: PBEsol geometry

The calculation puts the density at 3.4 g/cm³.

Cell: 4.171 4.171 4.171 Å, 90.00 90.00 90.00°
Fractional coordinates of all 5 atoms:
Be: 0.000 0.500 0.000
Be: 0.000 0.000 0.500
Be: 0.500 0.000 0.000
F: 0.500 0.500 0.500
Rh: 0.000 0.000 0.000

***

Of them, one has the highest stability.